# ScCdPb2

A geometry-optimized ScCdPb2 structure (PBE, the Alexandria database).

Lattice parameters (Å, degrees): 6.102 6.102 6.102 137.79 137.79 61.22
Fractional coordinates of all 4 atoms:
1 Pb 0.250 0.750 0.500
2 Pb 0.000 0.000 0.000
3 Cd 0.750 0.250 0.500
4 Sc 0.500 0.500 0.000

ΔE_f, eV/atom: -0.16
Total magnetization, μB/f.u.: 0.0
Volume, Å³ per cell: 101.4